No. 1
Material: AlOs2C
Method: DFT, GGA-PBE
State: relaxed

Properties
calculated total energy = -125.1 eV/cell
ΔH_f (0 K) = 400 kJ/mol of formula units
E above lowest polymorph = 738 meV per atom

Unit cell a=5.786 b=5.786 c=5.786 alpha=90.00 beta=90.00 gamma=90.00
Space group Fm-3m (No. 225)
Symmetry-distinct sites (fractional):
Al: 0.000 0.000 0.000 x4
Os: 0.250 0.250 0.250 x8
C: 0.000 0.000 0.500 x4

=====

No. 2
Material: CaPm2SnN
Method: DFT, GGA-PBE
State: relaxed

Properties
calculated total energy = -28.8 eV/cell
uncorrected formation energy = -0.985 eV/atom

Unit cell a=4.975 b=4.975 c=4.874 alpha=90.00 beta=90.00 gamma=90.00
Space group P4/mmm (No. 123)
Symmetry-distinct sites (fractional):
Ca: 0.000 0.000 0.000 x1
Pm: 0.000 0.500 0.500 x2
Sn: 0.500 0.500 0.000 x1
N: 0.000 0.000 0.500 x1

=====

No. 3
Material: PrNdC3N6
Method: DFT, GGA-PBE
State: relaxed

Properties
calculated total energy = -284.9 eV/cell
uncorrected formation energy = -0.709 eV/atom

Unit cell a=6.7841 b=6.7841 c=15.3567 alpha=90.00 beta=90.00 gamma=120.00
Space group R3 (No. 146, hexagonal axes)
Symmetry-distinct sites (fractional):
Pr: 0.0000 0.0000 0.0000 x3
Nd: 0.0000 0.0000 0.3547 x3
C: 0.0041 0.2795 0.1778 x9
N: 0.0115 0.4373 0.7717 x9
N: 0.1004 0.3493 0.9173 x9

=====

No. 4
Material: YRu4Pt
Method: DFT, GGA-PBE
State: relaxed

Properties
calculated total energy = -196.5 eV/cell
ΔH_f (0 K) = 45 kJ/mol of formula units

Unit cell a=7.362 b=7.362 c=7.362 alpha=90.00 beta=90.00 gamma=90.00
Space group F-43m (No. 216)
Symmetry-distinct sites (fractional):
Y: 0.000 0.000 0.000 x4
Ru: 0.124 0.124 0.376 x16
Pt: 0.250 0.250 0.750 x4

=====

No. 5
Material: CaMoRu2
Method: DFT, GGA-PBE
State: relaxed

Properties
calculated total energy = -59.2 eV/cell
ΔH_f (0 K) = 173 kJ/mol of formula units
E above lowest polymorph = 301 meV per atom

Unit cell a=3.245 b=4.989 c=8.611 alpha=90.00 beta=90.00 gamma=90.00
Space group Immm (No. 71)
Symmetry-distinct sites (fractional):
Ca: 0.000 0.000 0.000 x2
Mo: 0.000 0.000 0.500 x2
Ru: 0.000 0.500 0.222 x4

=====

No. 6
Material: CsTl3Zn4Cl12
Method: DFT, GGA-PBE
State: relaxed

Properties
calculated total energy = -175.7 eV/cell
uncorrected formation energy = -1.167 eV/atom

Unit cell a=15.1848 b=15.1848 c=12.0937 alpha=90.00 beta=90.00 gamma=120.00
Space group R32 (No. 155, hexagonal axes)
Symmetry-distinct sites (fractional):
Cs: 0.0000 0.0000 0.0000 x3
Tl: 0.0000 0.5382 0.0000 x9
Zn: 0.0000 0.0000 0.5000 x3
Zn: 0.0000 0.4585 0.5000 x9
Cl: 0.0000 0.6040 0.5000 x9
Cl: 0.0000 0.8551 0.5000 x9
Cl: 0.0177 0.2039 0.1661 x18

=====

No. 7
Material: RbNbSi2Se8
Method: DFT, GGA-PBE
State: relaxed

Properties
calculated total energy = -54.9 eV/cell
uncorrected formation energy = -0.425 eV/atom

Unit cell a=6.4870 b=6.4870 c=9.0025 alpha=90.00 beta=90.00 gamma=120.00
Space group P-3 (No. 147)
Symmetry-distinct sites (fractional):
Rb: 0.0000 0.0000 0.0000 x1
Nb: 0.0000 0.0000 0.5000 x1
Si: 0.3333 0.6667 0.7287 x2
Se: 0.0153 0.6690 0.3466 x6
Se: 0.3333 0.6667 0.9792 x2

=====

No. 8
Material: SmDyZnPb
Method: DFT, GGA-PBE
State: relaxed

Properties
calculated total energy = -63.3 eV/cell
ΔH_f (0 K) = -147 kJ/mol of formula units

Unit cell a=7.482 b=7.482 c=7.482 alpha=90.00 beta=90.00 gamma=90.00
Space group F-43m (No. 216)
Symmetry-distinct sites (fractional):
Sm: 0.000 0.000 0.000 x4
Dy: 0.000 0.000 0.500 x4
Zn: 0.250 0.250 0.250 x4
Pb: 0.250 0.250 0.750 x4

=====

No. 9
Material: AgOsI2
Method: DFT, GGA-PBE
State: relaxed

Properties
calculated total energy = -54.9 eV/cell
uncorrected formation energy = 0.862 eV/atom
E above lowest polymorph = 0 meV per atom

Unit cell a=6.382 b=6.382 c=12.177 alpha=90.00 beta=90.00 gamma=90.00
Space group I-42d (No. 122)
Symmetry-distinct sites (fractional):
Ag: 0.000 0.000 0.000 x4
Os: 0.000 0.000 0.500 x4
I: 0.211 0.250 0.625 x8

=====

No. 10
Material: BAsPd
Method: DFT, GGA-PBE
State: relaxed

Properties
calculated total energy = -32.7 eV/cell
ΔH_f (0 K) = 14 kJ/mol of formula units
E above lowest polymorph = 82 meV per atom

Unit cell a=5.475 b=3.260 c=5.503 alpha=90.00 beta=115.18 gamma=90.00
Space group Pm (No. 6)
Symmetry-distinct sites (fractional):
B: 0.000 0.000 0.000 x1
B: 0.300 0.000 0.975 x1
As: 0.647 0.000 0.651 x1
As: 0.978 0.500 0.219 x1
Pd: 0.310 0.500 0.709 x1
Pd: 0.537 0.500 0.256 x1

=====

No. 11
Material: Si3Ir4
Method: DFT, GGA-PBE
State: relaxed

Properties
calculated total energy = -107.7 eV/cell
uncorrected formation energy = -0.308 eV/atom
E above lowest polymorph = 0 meV per atom

Unit cell a=3.072 b=3.072 c=20.817 alpha=90.00 beta=90.00 gamma=90.00
Space group I4/mmm (No. 139)
Symmetry-distinct sites (fractional):
Si: 0.000 0.000 0.000 x2
Si: 0.000 0.000 0.287 x4
Ir: 0.000 0.000 0.167 x4
Ir: 0.000 0.000 0.434 x4

=====

No. 12
Material: HF
Method: DFT, GGA-PBE
State: relaxed

Properties
calculated total energy = -23.6 eV/cell
E above lowest polymorph = 1260 meV per atom

Unit cell a=3.483 b=3.483 c=3.483 alpha=90.00 beta=90.00 gamma=90.00
Space group Fm-3m (No. 225)
Symmetry-distinct sites (fractional):
H: 0.000 0.000 0.000 x4
F: 0.000 0.000 0.500 x4

=====

- Which value of calculated total energy does entry 3 give?
  -284.9 eV/cell